Entry 1:
Entry from the Alexandria database: a relaxed NaSrHf2Ru crystal (GGA-PBE).

Cell lengths 4.966, 5.806, 4.966 Å; angles 90.00, 90.00, 90.00 degrees
Sites, in units of the cell vectors:
Hf 0.500 0.000 0.000
Hf 0.000 0.000 0.500
Ru 0.000 0.000 0.000
Na 0.000 0.500 0.000
Sr 0.500 0.500 0.500

Computed properties:
- DFT total energy (eV per atom) = -6.129
- symmetry = P4/mmm
- formation energy from the elements (eV/atom) = 0.31

Entry 2:
Entry from the Alexandria database: a relaxed ScInRh3 crystal (GGA-PBE).

Cell lengths 4.806, 4.806, 4.806 Å; angles 90.00, 90.00, 90.00 degrees
Last column: magnetic moment on the atom in μB.
Sites, in units of the cell vectors:
Rh 0.000 0.500 0.000  0.33
Rh 0.500 0.000 0.000  0.23
Rh 0.000 0.000 0.500  0.39
In 0.000 0.000 0.000  -0.02
Sc 0.500 0.500 0.500  -0.08

Computed properties:
- DFT total energy (eV per atom) = -5.524
- symmetry = Pm-3m
- polymorph energy (0 for the lowest one) (meV per atom) = 211
- formation energy from the elements (eV/atom) = 0.70

Entry 3:
Entry from the Alexandria database: a relaxed RbNa2ZnHg crystal (GGA-PBE).

Cell lengths 5.794, 5.794, 5.633 Å; angles 90.00, 90.00, 90.00 degrees
Sites, in units of the cell vectors:
Na 0.000 0.500 0.000
Na 0.500 0.000 0.000
Rb 0.500 0.500 0.500
Hg 0.000 0.000 0.500
Zn 0.000 0.000 0.000

Computed properties:
- DFT total energy (eV per atom) = -1.023
- symmetry = P4/mmm
- polymorph energy (0 for the lowest one) (meV per atom) = 14
- formation energy from the elements (eV/atom) = 0.01

Entry 4:
Entry from the Alexandria database: a relaxed NbIrI3 crystal (GGA-PBE).

Cell lengths 5.525, 5.525, 5.525 Å; angles 90.00, 90.00, 90.00 degrees
Last column: magnetic moment on the atom in μB.
Sites, in units of the cell vectors:
I 0.500 0.000 0.000  0.03
I 0.000 0.000 0.500  0.05
I 0.000 0.500 0.000  0.05
Ir 0.500 0.500 0.500  2.37
Nb 0.000 0.000 0.000  -1.36

Computed properties:
- DFT total energy (eV per atom) = -3.503
- symmetry = Pm-3m
- polymorph energy (0 for the lowest one) (meV per atom) = 199
- formation energy from raw total energies (meV per atom) = 1213

> Number 4 is which compound?

NbIrI3

> The lowest DFT total energy belongs to which entry?

NaSrHf2Ru